A geometry-optimized Tl3Hg7Pb structure. Source: Alexandria via LeMat-Bulk, functional PBE.

Structure (extended XYZ):
```
22
Lattice="-0.3286 -2.9218 1.9746 10.8165 7.4310 9.6191 -9.0215 5.1708 6.1499" Properties=species:S:1:pos:R:3 pbc="T T T"
Tl -1.5389 3.2071 4.4894
Tl 3.0053 6.4729 13.2543
Tl -2.4326 6.3069 8.9274
Tl 3.8989 3.3731 8.8162
Tl 1.1301 1.6773 2.6699
Tl 0.3362 8.0027 15.0737
Hg 3.3005 9.5201 14.6359
Hg -1.8342 0.1599 3.1077
Hg 5.9653 7.7562 12.4694
Hg -4.4990 1.9237 5.2742
Hg -7.7737 3.8007 7.5066
Hg 9.2401 5.8793 10.2371
Hg 3.6202 6.3806 10.0436
Hg -2.1539 3.2994 7.7000
Hg 0.6220 6.4166 9.5980
Hg 0.8444 3.2634 8.1457
Hg 3.6712 1.6432 6.2187
Hg -2.2049 8.0368 11.5250
Hg 6.7868 4.5656 7.8850
Hg -5.3204 5.1144 9.8586
Pb 6.3656 4.7556 11.2724
Pb -4.8993 4.9244 6.4713
```

Computed properties:
Crystal system: orthorhombic
E_tot in eV/atom: -1.139
ΔE to the lowest computed polymorph in meV/atom: 0
Formation enthalpy at 0 K in eV per atom: 0.036
Fermi-level density of states in states/eV/atom: 0.33
V in Å³/cell: 692.06
Size of the total moment in μB per cell: 0.00